Entry A
# CoPAu2

An optimized crystal structure of CoPAu2 (PBE, the Alexandria database).

It has space group F-43m (No. 216), with a = 6.2940 Å, b = 6.2940 Å, c = 6.2940 Å, α = 90.00°, β = 90.00° and γ = 90.00°. The inequivalent atoms are Co at (0.0000, 0.0000, 0.0000), P at (0.2500, 0.2500, 0.7500), Au at (0.0000, 0.0000, 0.5000) and Au at (0.2500, 0.2500, 0.2500).

The calculation puts the volume at 15.6 A^3/atom.

Entry B
# CoPAu2

An optimized crystal structure of CoPAu2 (PBE, the Alexandria database).

It has space group P4/mmm (No. 123), with a = 3.9381 Å, b = 3.9381 Å, c = 4.0456 Å, α = 90.00°, β = 90.00° and γ = 90.00°. The inequivalent atoms are Co at (0.0000, 0.0000, 0.0000), P at (0.5000, 0.5000, 0.0000) and Au at (0.0000, 0.5000, 0.5000).

The calculation puts the volume at 15.7 A^3/atom.

entry B is the most stable structure; the next one sits 34 meV per atom above it.

Entry A
# CoPAu2

An optimized crystal structure of CoPAu2 (PBE, the Alexandria database).

It has space group R3m (No. 160, hexagonal axes), with a = 2.9627 Å, b = 2.9627 Å, c = 24.6408 Å, α = 90.00°, β = 90.00° and γ = 120.00°. The inequivalent atoms are Co at (0.0000, 0.0000, 0.0000), P at (0.0000, 0.0000, 0.7196), Au at (0.0000, 0.0000, 0.2467) and Au at (0.0000, 0.0000, 0.4811).

The calculation puts the volume at 15.6 A^3/atom.

Entry B
# CoPAu2

An optimized crystal structure of CoPAu2 (PBE, the Alexandria database).

It has space group I-42d (No. 122), with a = 7.1799 Å, b = 7.1799 Å, c = 5.1611 Å, α = 90.00°, β = 90.00° and γ = 90.00°. The inequivalent atoms are Co at (0.0000, 0.0000, 0.0000), P at (0.0000, 0.0000, 0.5000) and Au at (0.2264, 0.2500, 0.6250).

The calculation puts the volume at 16.6 A^3/atom.

entry A is the most stable structure; the next one sits 373 meV per atom above it.

Entry A
# CoP2AuS

An optimized crystal structure of CoP2AuS (PBE, the Alexandria database).

It has space group P4/mmm (No. 123), with a = 4.7229 Å, b = 4.7229 Å, c = 4.8779 Å, α = 90.00°, β = 90.00° and γ = 90.00°. The inequivalent atoms are Co at (0.0000, 0.0000, 0.0000), P at (0.0000, 0.5000, 0.5000), Au at (0.5000, 0.5000, 0.5000) and S at (0.5000, 0.5000, 0.0000).

The calculation puts the volume at 21.8 A^3/atom.

Entry B
# CoP2AuS

An optimized crystal structure of CoP2AuS (PBE, the Alexandria database).

It has space group P4/mmm (No. 123), with a = 4.1945 Å, b = 4.1945 Å, c = 4.9561 Å, α = 90.00°, β = 90.00° and γ = 90.00°. The inequivalent atoms are Co at (0.0000, 0.0000, 0.0000), P at (0.0000, 0.5000, 0.0000), Au at (0.5000, 0.5000, 0.5000) and S at (0.0000, 0.0000, 0.5000).

The calculation puts the volume at 17.4 A^3/atom.

entry B is the most stable structure; the next one sits 1014 meV per atom above it.